(1)
# CrRuAu

A geometry-optimized CrRuAu structure (GGA-PBE, Alexandria via LeMat-Bulk).

Values from the calculation:
M_tot in μB per atom: 0.00
Energy in eV/cell: -21.4
Symmetry: P3m1, No. 156

abc: 2.7464 2.7464 6.7630
angles: 90.00 90.00 120.00
Positions (direct):
Cr1 0.6667 0.3333 0.3542
Au1 0.0000 0.0000 0.0086
Ru1 0.3333 0.6667 0.6372

---

(2)
# Cr2Ru2Au

A geometry-optimized Cr2Ru2Au structure (GGA-PBE, Alexandria via LeMat-Bulk).

Values from the calculation:
M_tot in μB per atom: 0.00
Energy in eV/cell: -80.0
Symmetry: P4/mbm, No. 127

abc: 7.2303 7.2303 2.7287
angles: 90.00 90.00 90.00
Positions (direct):
Cr1 0.8404 0.3404 0.5000
Cr2 0.3404 0.1596 0.5000
Cr3 0.1596 0.6596 0.5000
Cr4 0.6596 0.8404 0.5000
Ru1 0.1329 0.3671 0.0000
Ru2 0.6329 0.1329 0.0000
Ru3 0.8671 0.6329 0.0000
Ru4 0.3671 0.8671 0.0000
Au1 0.0000 0.0000 0.0000
Au2 0.5000 0.5000 0.0000

---

(3)
# CrRu4Au

A geometry-optimized CrRu4Au structure (GGA-PBE, Alexandria via LeMat-Bulk).

Values from the calculation:
M_tot in μB per atom: 0.17
Energy in eV/cell: -46.6
Symmetry: F-43m, No. 216

abc: 5.1137 5.1137 5.1137
angles: 60.00 60.00 60.00
Each line ends with the local moment (μB).
Positions (direct):
Ru1 0.3751 0.3751 0.8746  -0.99
Ru2 0.8746 0.3751 0.3751  -0.99
Ru3 0.3751 0.8746 0.3751  -0.99
Ru4 0.3751 0.3751 0.3751  -0.99
Cr1 0.0000 0.0000 0.0000  3.00
Au1 0.7500 0.7500 0.7500  -0.11

---

(4)
# CrRuAu

A geometry-optimized CrRuAu structure (GGA-PBE, Alexandria via LeMat-Bulk).

Values from the calculation:
M_tot in μB per atom: 0.43
Energy in eV/cell: -21.5
Symmetry: Imm2, No. 44

abc: 4.9953 4.9953 4.9953
angles: 146.74 138.41 54.26
Each line ends with the local moment (μB).
Positions (direct):
Cr1 0.3141 0.3141 0.0000  1.91
Ru1 0.6887 0.6887 0.0000  -0.69
Au1 0.9973 0.9973 0.0000  -0.03

---

(5)
# Cr2Ru2Au

A geometry-optimized Cr2Ru2Au structure (GGA-PBE, Alexandria via LeMat-Bulk).

Values from the calculation:
M_tot in μB per atom: 0.00
Energy in eV/cell: -80.0
Symmetry: P4/mbm, No. 127

abc: 7.1833 7.1833 2.7425
angles: 90.00 90.00 90.00
Positions (direct):
Cr1 0.8796 0.6204 0.0000
Cr2 0.6204 0.1204 0.0000
Cr3 0.3796 0.8796 0.0000
Cr4 0.1204 0.3796 0.0000
Ru1 0.3328 0.1672 0.5000
Ru2 0.6672 0.8328 0.5000
Ru3 0.8328 0.3328 0.5000
Ru4 0.1672 0.6672 0.5000
Au1 0.5000 0.5000 0.0000
Au2 0.0000 0.0000 0.0000

---

(6)
# Cr3RuAu

A geometry-optimized Cr3RuAu structure (GGA-PBE, Alexandria via LeMat-Bulk).

Values from the calculation:
M_tot in μB per atom: 0.31
Energy in eV/cell: -29.4
Symmetry: Pm-3m, No. 221

abc: 4.5571 4.5571 4.5571
angles: 90.00 90.00 90.00
Each line ends with the local moment (μB).
Positions (direct):
Ru1 0.5000 0.5000 0.5000  1.47
Cr1 0.5000 0.0000 0.0000  0.04
Cr2 0.0000 0.5000 0.0000  0.03
Cr3 0.0000 0.0000 0.5000  -0.04
Au1 0.0000 0.0000 0.0000  0.00

---

(7)
# Cr3RuAu

A geometry-optimized Cr3RuAu structure (GGA-PBE, Alexandria via LeMat-Bulk).

Values from the calculation:
M_tot in μB per atom: 0.00
Energy in eV/cell: -34.1
Symmetry: Pm-3m, No. 221

abc: 4.4281 4.4281 4.4281
angles: 90.00 90.00 90.00
Positions (direct):
Au1 0.5000 0.5000 0.5000
Cr1 0.5000 0.0000 0.0000
Cr2 0.0000 0.0000 0.5000
Cr3 0.0000 0.5000 0.0000
Ru1 0.0000 0.0000 0.0000

---

(8)
# CrRuAu

A geometry-optimized CrRuAu structure (GGA-PBE, Alexandria via LeMat-Bulk).

Values from the calculation:
M_tot in μB per atom: 0.00
Energy in eV/cell: -43.1
Symmetry: C2/m, No. 12

abc: 6.1425 6.1425 5.5812
angles: 48.17 48.17 36.37
Positions (direct):
Cr1 0.3599 0.3599 0.3756
Cr2 0.3932 0.3932 0.9317
Ru1 0.0379 0.0379 0.8932
Ru2 0.7153 0.7153 0.4142
Au1 0.0397 0.0397 0.4046
Au2 0.7135 0.7135 0.9027